Material: La2MgTa
Method: DFT, PBE
State: relaxed

Summary:
The value obtained for the formation energy is 0.336 eV per atom. As for the space-group type: Cm (8). The raw total energy is -5.489 eV per atom.

```
La2MgTa
1.0
-0.974 3.832 4.839
-3.490 4.368 2.791
-3.511 -2.934 3.547
La Mg Ta
2 1 1
direct
0.972 0.972 0.057
0.770 0.770 0.711
0.534 0.534 0.516
0.225 0.225 0.216
```